CsTbCrBr6: relaxed, PBE.

POSCAR file:
```
CsTbCrBr6
1.0
7.161 0.001 0.000
3.581 6.201 0.000
0.000 -0.001 8.204
Br Cr Tb Cs
6 1 1 1
direct
0.633 0.382 0.693
0.633 0.985 0.307
0.985 0.382 0.307
0.985 0.633 0.693
0.382 0.985 0.693
0.382 0.633 0.307
0.667 0.667 0.500
0.333 0.333 0.500
0.000 0.000 0.000
```

- theoretical density (g/cm3) = 3.75
- ΔE_f (raw) (eV/atom) = -1.445
- magnetic moment (μB per formula unit) = 4.00
- DOS at the Fermi energy (states/eV/cell) = 6.542

Cs2CrTcBr6: relaxed, PBE.

POSCAR file:
```
Cs2CrTcBr6
1.0
-7.244 -1.776 2.010
2.574 -6.230 3.773
-1.802 -1.027 7.441
Br Cr Tc Cs
6 1 1 2
direct
0.743 0.257 0.000
0.258 0.258 0.485
0.257 0.743 0.000
0.743 0.743 0.000
0.257 0.257 0.000
0.742 0.742 0.515
0.500 0.500 0.000
0.000 0.000 0.000
0.750 0.250 0.500
0.250 0.750 0.500
```

- theoretical density (g/cm3) = 4.56
- ΔE_f (raw) (eV/atom) = -0.847
- magnetic moment (μB per formula unit) = 1.00
- DOS at the Fermi energy (states/eV/cell) = 5.341